DFT (PBE+U) results for a relaxed structure of SmEuNbVO6.

Summary:
DOS(E_F) = 1.20 states/eV per atom
Size of the total moment = 9.875 μB/cell
Space-group type = F-43m (216)
VASP energy = -8.838 eV per atom

The structure in POSCAR format:
```
SmEuNbVO6
1.0
0.0000 4.0205 4.0205
4.0205 0.0000 4.0205
4.0205 4.0205 0.0000
Sm Eu Nb V O
1 1 1 1 6
Cartesian
0.0000 0.0000 0.0000
4.0205 4.0205 4.0205
6.0307 6.0307 6.0307
2.0102 2.0102 2.0102
6.0307 6.0307 4.0342
6.0307 4.0342 6.0307
8.0273 6.0307 6.0307
4.0342 6.0307 6.0307
6.0307 8.0273 6.0307
6.0307 6.0307 8.0273
```